An optimized crystal structure of POs2Pt. Source: Alexandria, functional GGA-PBE.

Total energy = -8.369 eV/atom
Spin magnetization = 0.0 μB/cell
DOS(E_F) = 2.89 states/eV per cell

Unit cell a=2.8874 b=2.8874 c=6.6936 alpha=90.00 beta=90.00 gamma=90.00
Fractional positions:
P 0.0000 0.0000 0.0000
Os 0.5000 0.5000 0.2050
Os 0.5000 0.5000 0.7950
Pt 0.0000 0.0000 0.5000

An optimized crystal structure of SrSmNi2P2. Source: Alexandria, functional GGA-PBE.

Total energy = -5.830 eV/atom
Spin magnetization = 0.0 μB/cell
DOS(E_F) = 2.58 states/eV per cell

Unit cell a=3.9513 b=3.9513 c=8.4107 alpha=90.00 beta=90.00 gamma=120.00
Fractional positions:
Sr 0.0000 0.0000 0.0000
Sm 0.0000 0.0000 0.5000
Ni 0.3333 0.6667 0.7332
Ni 0.6667 0.3333 0.2668
P 0.3333 0.6667 0.2656
P 0.6667 0.3333 0.7344

An optimized crystal structure of Pr3Er5In2. Source: Alexandria, functional GGA-PBE.

Total energy = -4.225 eV/atom
Spin magnetization = 0.0 μB/cell
DOS(E_F) = 27.50 states/eV per cell

Unit cell a=10.6316 b=10.6316 c=10.6316 alpha=105.33 beta=85.32 gamma=144.82
Fractional positions:
Pr 0.2391 0.1172 0.3564
Pr 0.2500 0.2500 0.0000
Pr 0.2609 0.6172 0.8781
Pr 0.7391 0.3828 0.1219
Pr 0.7500 0.7500 0.0000
Pr 0.7609 0.8828 0.6436
Er 0.1626 0.3777 0.5403
Er 0.2500 0.5045 0.2545
Er 0.2500 0.7500 0.5000
Er 0.2500 0.9955 0.7455
Er 0.3374 0.8777 0.2150
Er 0.6626 0.1223 0.7850
Er 0.7500 0.0045 0.2545
Er 0.7500 0.2500 0.5000
Er 0.7500 0.4955 0.7455
Er 0.8374 0.6223 0.4597
In 0.1473 0.8598 0.0072
In 0.3527 0.3598 0.7125
In 0.6473 0.6402 0.2875
In 0.8527 0.1402 0.9928

An optimized crystal structure of Na4TlIn. Source: Alexandria, functional GGA-PBE.

Polymorph energy (0 for the lowest one) = 0 meV/atom
Spin magnetization = 0.0 μB/cell
DOS(E_F) = 2.88 states/eV per cell

Unit cell a=5.9622 b=5.9622 c=6.0040 alpha=99.49 beta=99.49 gamma=119.88
Fractional positions:
Na 0.1595 0.8405 0.0000
Na 0.3393 0.6607 0.5000
Na 0.6607 0.3393 0.5000
Na 0.8405 0.1595 0.0000
Tl 0.5000 0.5000 0.0000
In 0.0000 0.0000 0.5000

An optimized crystal structure of PaInFeRh. Source: Alexandria, functional GGA-PBE.

Total energy = -7.284 eV/atom
Spin magnetization = 1.1 μB/cell
DOS(E_F) = 3.41 states/eV per cell

Unit cell a=4.6965 b=4.6965 c=4.6965 alpha=60.00 beta=60.00 gamma=60.00
Fractional positions:
Pa 0.0000 0.0000 0.0000
In 0.5000 0.5000 0.5000
Fe 0.2500 0.2500 0.2500
Rh 0.7500 0.7500 0.7500

An optimized crystal structure of NaLaBiPd. Source: Alexandria, functional GGA-PBE.

Total energy = -4.356 eV/atom
Spin magnetization = 0.0 μB/cell
DOS(E_F) = 1.26 states/eV per cell

Unit cell a=5.3215 b=5.3215 c=5.3215 alpha=60.00 beta=60.00 gamma=60.00
Fractional positions:
Na 0.0000 0.0000 0.0000
La 0.5000 0.5000 0.5000
Bi 0.7500 0.7500 0.7500
Pd 0.2500 0.2500 0.2500